one:
DFT (PBEsol) results for crystalline MnAu2 at its relaxed geometry.

Unit cell a=9.186 b=3.876 c=5.741 alpha=90.00 beta=109.84 gamma=90.00
Space group C2/m (No. 12)
One atom of each set of equivalent atoms:
Mn 0.167 0.000 0.098
Au 0.010 0.500 0.766
Au 0.173 0.000 0.599

Properties
Calculated volume   16.02 A^3/atom


two:
DFT (PBEsol) results for crystalline MnAu2 at its relaxed geometry.

Unit cell a=5.658 b=4.064 c=8.377 alpha=90.00 beta=90.00 gamma=90.00
Space group Pnma (No. 62)
One atom of each set of equivalent atoms:
Mn 0.149 0.250 0.091
Au 0.096 0.250 0.764
Au 0.150 0.250 0.425

Properties
Calculated volume   16.05 A^3/atom


Out of the structures above, which one is the least stable? Solution: one.